# Tb2Tm3In (GGA-PBE, optimized geometry)
# SG: Cmmm
# Energy relative to the elements, eV per formula unit: -1.0
# ρ, g/cm³: 8.94
# Offset from the most stable computed form, eV per formula unit: 0.00
data_Tb2Tm3In
_space_group_name_H-M_alt 'P 1'
_space_group_IT_number 1
_space_group_name_Hall 'P 1'
_cell_length_a 7.8478
_cell_length_b 7.8478
_cell_length_c 4.8510
_cell_angle_alpha 90.00
_cell_angle_beta 90.00
_cell_angle_gamma 144.26
loop_
_atom_site_label
_atom_site_type_symbol
_atom_site_fract_x
_atom_site_fract_y
_atom_site_fract_z
Tb1 Tb 0.1616 0.8384 0.0000
Tb2 Tb 0.8384 0.1616 0.0000
Tm1 Tm 0.0000 0.0000 0.5000
Tm2 Tm 0.3325 0.6675 0.5000
Tm3 Tm 0.6675 0.3325 0.5000
In1 In 0.5000 0.5000 0.0000